Compound: KNbC3
Source: the Alexandria database
Functional: PBE
Structure: relaxed

a = 4.0231 Å, b = 4.0231 Å, c = 4.0231 Å
α = 90.00°, β = 90.00°, γ = 90.00°
With the nearest neighbours (Å) after each atom.
Fractional positions:
1 K 0.0000 0.0000 0.0000  6 C 2.01
2 Nb 0.5000 0.5000 0.5000  12 C 2.84
3 C 0.0000 0.0000 0.5000  2 K 2.01
4 C 0.0000 0.5000 0.0000  2 K 2.01
5 C 0.5000 0.0000 0.0000  2 K 2.01

The electronic total energy is -3.845 eV/atom. The value obtained for the mass density is 4.3 g/cm3. The polymorph energy (0 for the lowest one) comes out at 2353.8 meV per atom. The energy of formation comes out at 3923 meV/atom. As for the space-group type: Pm-3m (221).

Compound: CaMnN2
Source: the Alexandria database
Functional: PBE
Structure: relaxed

a = 3.8515 Å, b = 3.8515 Å, c = 3.8515 Å
α = 60.00°, β = 60.00°, γ = 60.00°
With the nearest neighbours (Å) after each atom.
Fractional positions:
1 Ca 0.0000 0.0000 0.0000  8 N 2.36
2 Mn 0.5000 0.5000 0.5000  8 N 2.36
3 N 0.2500 0.2500 0.2500  4 Mn 2.36, 4 Ca 2.36
4 N 0.7500 0.7500 0.7500  4 Mn 2.36, 4 Ca 2.36

The electronic total energy is -6.452 eV/atom. The value obtained for the mass density is 5.1 g/cm3. The value obtained for the uncorrected formation energy is 0.504 eV per atom. As for the space-group type: Fm-3m (225).

Compound: PrErTh
Source: the Alexandria database
Functional: PBE
Structure: relaxed

a = 8.0201 Å, b = 8.0201 Å, c = 8.0201 Å
α = 153.96°, β = 153.96°, γ = 37.15°
With the nearest neighbours (Å) after each atom.
Fractional positions:
1 Pr 0.0000 0.0000 0.0000  4 Th 3.57, 4 Pr 3.61, 4 Er 3.75
2 Er 0.6809 0.6809 0.0000  4 Th 3.47, 4 Er 3.61, 4 Pr 3.75
3 Th 0.3358 0.3358 0.0000  4 Er 3.47, 4 Pr 3.57, 4 Th 3.61

The electronic total energy is -5.549 eV/atom. The value obtained for the mass density is 9.0 g/cm3. The polymorph energy (0 for the lowest one) comes out at 9.2 meV per atom. The energy of formation comes out at 38 meV/atom. As for the space-group type: I4mm (107).

Compound: IrPdAu
Source: the Alexandria database
Functional: PBE
Structure: relaxed

a = 6.3880 Å, b = 6.3880 Å, c = 6.3880 Å
α = 154.65°, β = 154.65°, γ = 36.16°
With the nearest neighbours (Å) after each atom.
Fractional positions:
1 Ir 0.0000 0.0000 0.0000  4 Pd 2.72, 4 Ir 2.80, 4 Au 2.88
2 Pd 0.6535 0.6535 0.0000  4 Ir 2.72, 4 Pd 2.80, 4 Au 2.90
3 Au 0.3279 0.3279 0.0000  4 Au 2.80, 4 Ir 2.88, 4 Pd 2.90

The electronic total energy is -5.543 eV/atom. The value obtained for the mass density is 17.2 g/cm3. The polymorph energy (0 for the lowest one) comes out at 64.5 meV per atom. The energy of formation comes out at 234 meV/atom. As for the space-group type: I4mm (107).

Compound: Ta2Co2Ge
Source: the Alexandria database
Functional: PBE
Structure: relaxed

a = 7.7614 Å, b = 7.7614 Å, c = 7.7614 Å
α = 156.04°, β = 156.04°, γ = 34.14°
With the nearest neighbours (Å) after each atom.
Fractional positions:
1 Ta 0.1157 0.1157 0.0000  4 Co 2.56, 4 Ge 2.85
2 Ta 0.8843 0.8843 0.0000  4 Co 2.56, 4 Ge 2.85
3 Co 0.2500 0.7500 0.5000  4 Co 2.28
4 Co 0.7500 0.2500 0.5000  4 Co 2.28
5 Ge 0.5000 0.5000 0.0000  8 Ta 2.85

The electronic total energy is -8.367 eV/atom. The value obtained for the mass density is 11.9 g/cm3. The polymorph energy (0 for the lowest one) comes out at 317.2 meV per atom. The energy of formation comes out at 140 meV/atom. As for the space-group type: I4/mmm (139).

Compound: Na2CaCCl
Source: the Alexandria database
Functional: PBE
Structure: relaxed

a = 6.7634 Å, b = 6.7634 Å, c = 5.1114 Å
α = 90.00°, β = 90.00°, γ = 90.00°
With the nearest neighbours (Å) after each atom.
Fractional positions:
1 Na 0.0000 0.5000 0.0000  2 Ca 3.38
2 Na 0.5000 0.0000 0.0000  2 Ca 3.38
3 Ca 0.0000 0.0000 0.0000  2 Cl 2.56
4 C 0.5000 0.5000 0.5000  8 Na 4.24
5 Cl 0.0000 0.0000 0.5000  2 Ca 2.56

The electronic total energy is -2.177 eV/atom. The value obtained for the mass density is 0.9 g/cm3. The value obtained for the uncorrected formation energy is 0.965 eV per atom. As for the space-group type: P4/mmm (123).

Compound: YEr3S4
Source: the Alexandria database
Functional: PBE
Structure: relaxed

a = 6.7354 Å, b = 6.7354 Å, c = 3.8457 Å
α = 90.00°, β = 90.00°, γ = 109.09°
With the nearest neighbours (Å) after each atom.
Fractional positions:
1 Y 0.0000 0.0000 0.0000  6 S 2.76
2 Er 0.0000 0.5000 0.5000  6 S 2.74
3 Er 0.5000 0.0000 0.5000  6 S 2.74
4 Er 0.5000 0.5000 0.0000  6 S 2.72
5 S 0.2517 0.7483 0.0000  5 Er 2.72-2.74, 1 Y 2.76
6 S 0.2534 0.2534 0.5000  4 Er 2.72-2.74, 2 Y 2.76
7 S 0.7466 0.7466 0.5000  4 Er 2.72-2.74, 2 Y 2.76
8 S 0.7483 0.2517 0.0000  5 Er 2.72-2.74, 1 Y 2.76

The electronic total energy is -6.545 eV/atom. The value obtained for the mass density is 7.2 g/cm3. The value obtained for the uncorrected formation energy is -1.962 eV per atom. The polymorph energy (0 for the lowest one) comes out at 0.0 meV per atom. As for the space-group type: Cmmm (65).

Compound: Ga13Ag2
Source: the Alexandria database
Functional: PBE
Structure: relaxed

a = 7.4459 Å, b = 7.4459 Å, c = 7.4459 Å
α = 61.65°, β = 61.65°, γ = 61.65°
With the nearest neighbours (Å) after each atom.
Fractional positions:
1 Ga 0.0000 0.0000 0.0000  6 Ga 2.91
2 Ga 0.1164 0.7423 0.7423  8 Ga 2.71-3.01, 1 Ag 2.87
3 Ga 0.1541 0.5181 0.5181  6 Ga 2.58-2.78, 2 Ag 2.80-2.89
4 Ga 0.2577 0.2577 0.8836  8 Ga 2.71-3.01, 1 Ag 2.87
5 Ga 0.2577 0.8836 0.2577  8 Ga 2.71-3.01, 1 Ag 2.87
6 Ga 0.4819 0.4819 0.8459  6 Ga 2.58-2.78, 2 Ag 2.80-2.89
7 Ga 0.4819 0.8459 0.4819  6 Ga 2.58-2.78, 2 Ag 2.80-2.89
8 Ga 0.5181 0.1541 0.5181  6 Ga 2.58-2.78, 2 Ag 2.80-2.89
9 Ga 0.5181 0.5181 0.1541  6 Ga 2.58-2.78, 2 Ag 2.80-2.89
10 Ga 0.7423 0.1164 0.7423  8 Ga 2.71-3.01, 1 Ag 2.87
11 Ga 0.7423 0.7423 0.1164  8 Ga 2.71-3.01, 1 Ag 2.87
12 Ga 0.8459 0.4819 0.4819  6 Ga 2.58-2.78, 2 Ag 2.80-2.89
13 Ga 0.8836 0.2577 0.2577  8 Ga 2.71-3.01, 1 Ag 2.87
14 Ag 0.2633 0.2633 0.2633  9 Ga 2.80-2.89
15 Ag 0.7367 0.7367 0.7367  9 Ga 2.80-2.89

The electronic total energy is -2.941 eV/atom. The value obtained for the mass density is 6.2 g/cm3. The energy of formation comes out at 63 meV/atom. As for the space-group type: R-3m (166).

Compound: SrCdSi
Source: the Alexandria database
Functional: PBE
Structure: relaxed

a = 8.5329 Å, b = 8.5329 Å, c = 8.5329 Å
α = 149.20°, β = 149.20°, γ = 44.11°
With the nearest neighbours (Å) after each atom.
Fractional positions:
1 Sr 0.0000 0.0000 0.0000  4 Cd 3.41, 8 Si 3.42
2 Sr 0.7500 0.2500 0.5000  8 Cd 3.50, 4 Si 3.58
3 Cd 0.1609 0.6609 0.5000  2 Si 2.64, 1 Cd 2.82
4 Cd 0.3391 0.8391 0.5000  2 Si 2.64, 1 Cd 2.82
5 Si 0.4253 0.4253 0.0000  1 Si 2.36, 2 Cd 2.64
6 Si 0.5747 0.5747 0.0000  1 Si 2.36, 2 Cd 2.64

The electronic total energy is -2.993 eV/atom. The value obtained for the mass density is 4.7 g/cm3. The value obtained for the uncorrected formation energy is -0.320 eV per atom. As for the space-group type: I-4m2 (119).

Compound: KBa2Ge2
Source: the Alexandria database
Functional: PBE
Structure: relaxed

a = 10.0419 Å, b = 10.0419 Å, c = 3.5625 Å
α = 90.00°, β = 90.00°, γ = 90.00°
With the nearest neighbours (Å) after each atom.
Fractional positions:
1 K 0.0000 0.0000 0.0000  2 K 3.56, 4 Ba 3.94
2 K 0.5000 0.5000 0.0000  2 K 3.56, 4 Ba 3.94
3 Ba 0.1297 0.3703 0.0000  6 Ge 3.38-3.50, 3 Ba 3.56-3.68
4 Ba 0.3703 0.8703 0.0000  6 Ge 3.38-3.50, 3 Ba 3.56-3.68
5 Ba 0.6297 0.1297 0.0000  6 Ge 3.38-3.50, 3 Ba 3.56-3.68
6 Ba 0.8703 0.6297 0.0000  6 Ge 3.38-3.50, 3 Ba 3.56-3.68
7 Ge 0.1682 0.6682 0.5000  6 Ba 3.38-3.50, 2 Ge 3.56
8 Ge 0.3318 0.1682 0.5000  6 Ba 3.38-3.50, 2 Ge 3.56
9 Ge 0.6682 0.8318 0.5000  6 Ba 3.38-3.50, 2 Ge 3.56
10 Ge 0.8318 0.3318 0.5000  6 Ba 3.38-3.50, 2 Ge 3.56

The electronic total energy is -3.054 eV/atom. The value obtained for the mass density is 4.2 g/cm3. The polymorph energy (0 for the lowest one) comes out at 127.9 meV per atom. The energy of formation comes out at -219 meV/atom. As for the space-group type: P4/mbm (127).

Compound: Cs2CrHg2Br4
Source: the Alexandria database
Functional: PBE
Structure: relaxed

a = 7.5779 Å, b = 7.5779 Å, c = 7.5779 Å
α = 113.01°, β = 113.01°, γ = 102.61°
With the nearest neighbours (Å) after each atom.
Fractional positions:
1 Cs 0.2500 0.7500 0.5000  8 Br 3.81, 4 Hg 4.24
2 Cs 0.7500 0.2500 0.5000  8 Br 3.81, 4 Hg 4.24
3 Cr 0.0000 0.0000 0.0000  4 Br 2.54
4 Hg 0.3237 0.3237 0.0000  1 Cr 3.07, 1 Hg 3.34
5 Hg 0.6763 0.6763 0.0000  1 Cr 3.07, 1 Hg 3.34
6 Br 0.2146 0.2146 0.4291  1 Cr 2.54
7 Br 0.2146 0.7854 0.0000  1 Cr 2.54
8 Br 0.7854 0.2146 0.0000  1 Cr 2.54
9 Br 0.7854 0.7854 0.5709  1 Cr 2.54

The electronic total energy is -3.090 eV/atom. The value obtained for the mass density is 5.2 g/cm3. The value obtained for the uncorrected formation energy is -1.021 eV per atom. As for the space-group type: I4/mmm (139).

Compound: AgIrW2
Source: the Alexandria database
Functional: PBE
Structure: relaxed

a = 4.8290 Å, b = 4.8290 Å, c = 2.7639 Å
α = 90.00°, β = 90.00°, γ = 90.00°
With the nearest neighbours (Å) after each atom.
Fractional positions:
1 Ag 0.0000 0.0000 0.0000  2 Ag 2.76, 8 W 2.78
2 Ir 0.5000 0.5000 0.0000  2 Ir 2.76, 8 W 2.78
3 W 0.0000 0.5000 0.5000  2 W 2.76, 4 Ir 2.78, 4 Ag 2.78
4 W 0.5000 0.0000 0.5000  2 W 2.76, 4 Ir 2.78, 4 Ag 2.78

The electronic total energy is -8.817 eV/atom. The value obtained for the mass density is 17.2 g/cm3. The polymorph energy (0 for the lowest one) comes out at 350.4 meV per atom. The energy of formation comes out at 588 meV/atom. As for the space-group type: P4/mmm (123).

> What is the formula in the seventh record?

YEr3S4